1.
# CaYSeN2 PBE relaxed
# distance to the lowest polymorph of the same formula	397	meV/atom
# crystal system	tetragonal
# space group	No. 123
# raw formation energy	239	meV per atom
data_CaYSeN2
_cell_length_a 4.243
_cell_length_b 11.484
_cell_length_c 4.243
_cell_angle_alpha 90.00
_cell_angle_beta 90.00
_cell_angle_gamma 90.00
_symmetry_space_group_name_H-M 'P 1'
_symmetry_Int_Tables_number 1
loop_
_symmetry_equiv_pos_as_xyz
'x,y,z'
loop_
_atom_site_label
_atom_site_fract_x
_atom_site_fract_y
_atom_site_fract_z
Se1 0.500 0.500 0.500
N1 0.000 0.000 0.500
Y1 0.000 0.000 0.000
Ca1 0.000 0.500 0.000
N2 0.500 0.000 0.000

---

2.
# Ce3SiS2 PBE relaxed
# crystal system	orthorhombic
# space group	No. 71
# raw formation energy	-1562	meV per atom
data_Ce3SiS2
_cell_length_a 7.070
_cell_length_b 7.070
_cell_length_c 7.070
_cell_angle_alpha 146.29
_cell_angle_beta 131.83
_cell_angle_gamma 60.08
_symmetry_space_group_name_H-M 'P 1'
_symmetry_Int_Tables_number 1
loop_
_symmetry_equiv_pos_as_xyz
'x,y,z'
loop_
_atom_site_label
_atom_site_fract_x
_atom_site_fract_y
_atom_site_fract_z
Si1 0.500 0.000 0.500
Ce1 0.670 0.670 0.000
Ce2 0.330 0.330 0.000
S1 0.835 0.335 0.500
S2 0.165 0.665 0.500
Ce3 0.000 0.000 0.000

---

3.
# Er2MgC PBE relaxed
# crystal system	trigonal
# ΔE_f	-0.2417	eV per atom
# space group	No. 166
data_Er2MgC
_cell_length_a 3.523
_cell_length_b 3.523
_cell_length_c 8.789
_cell_angle_alpha 78.44
_cell_angle_beta 78.44
_cell_angle_gamma 60.00
_symmetry_space_group_name_H-M 'P 1'
_symmetry_Int_Tables_number 1
loop_
_symmetry_equiv_pos_as_xyz
'x,y,z'
loop_
_atom_site_label
_atom_site_fract_x
_atom_site_fract_y
_atom_site_fract_z
Er1 0.281 0.281 0.157
C1 0.000 0.000 0.000
Er2 0.719 0.719 0.843
Mg1 0.500 0.500 0.500

---

4.
# SrGaCo PBE relaxed
# crystal system	tetragonal
# ΔE_f	-0.2314	eV per atom
# space group	No. 129
data_SrGaCo
_cell_length_a 4.275
_cell_length_b 4.275
_cell_length_c 7.640
_cell_angle_alpha 90.00
_cell_angle_beta 90.00
_cell_angle_gamma 90.00
_symmetry_space_group_name_H-M 'P 1'
_symmetry_Int_Tables_number 1
loop_
_symmetry_equiv_pos_as_xyz
'x,y,z'
loop_
_atom_site_label
_atom_site_fract_x
_atom_site_fract_y
_atom_site_fract_z
Sr1 0.500 0.000 0.198
Co1 0.500 0.500 0.500
Co2 0.000 0.000 0.500
Ga1 0.000 0.500 0.353
Sr2 0.000 0.500 0.802
Ga2 0.500 0.000 0.647

---

In order of appearance, electronic total energy = -5.4810 -6.8089 -5.2278 -4.1696 eV per atom.
In order of appearance, density = 1.9 5.9 6.7 5.1 g/cm3.